No. 1
A plane-wave DFT calculation with PBE was carried out for an optimized crystal structure of LaTcPH.

a b c (Å): 4.132 4.132 7.823
angles (deg): 90.00 90.00 90.00
Atoms (fractional coordinates):
P: 0.500 0.000 0.151
La: 0.500 0.000 0.672
P: 0.000 0.500 0.849
Tc: 0.000 0.000 0.000
Tc: 0.500 0.500 0.000
H: 0.500 0.500 0.500
La: 0.000 0.500 0.328
H: 0.000 0.000 0.500

Results
* calculated volume: 16.70 A^3/atom
* E: -0.506 Ry per atom
* symmetry: P4/nmm, No. 129
* total magnetic moment: 0.0 μB/cell

No. 2
A plane-wave DFT calculation with PBE was carried out for an optimized crystal structure of Pa3Mn4SnN12.

a b c (Å): 7.084 7.084 7.084
angles (deg): 104.65 104.65 104.65
Site moments in Bohr magnetons follow the coordinates.
Atoms (fractional coordinates):
N: 0.973 0.207 0.356  -0.09
Sn: 0.000 0.000 0.000  0.00
N: 0.356 0.973 0.207  -0.09
N: 0.644 0.793 0.027  -0.09
Mn: 0.500 0.952 0.048  1.95
Mn: 0.048 0.500 0.952  1.95
N: 0.027 0.644 0.793  -0.09
Pa: 0.000 0.549 0.451  0.21
Pa: 0.549 0.451 0.000  0.21
N: 0.500 0.344 0.656  -0.04
Pa: 0.451 0.000 0.549  0.21
N: 0.207 0.356 0.973  -0.09
N: 0.109 0.891 0.500  -0.02
N: 0.656 0.500 0.344  -0.04
Mn: 0.952 0.048 0.500  1.95
N: 0.344 0.656 0.500  -0.04
N: 0.500 0.109 0.891  -0.02
N: 0.793 0.027 0.644  -0.09
N: 0.891 0.500 0.109  -0.02
Mn: 0.500 0.500 0.500  2.40

Results
* calculated volume: 15.65 A^3/atom
* E: -0.646 Ry per atom
* symmetry: R32, No. 155
* total magnetic moment: 9.0 μB/cell